Entry 1:
The following is a DFT calculation (SCAN) of a crystal of KTl2As relaxed with PBEsol.

The calculation puts the uncorrected energy at -43.446 eV/atom. As for the calculated density: 7.9 g/cm³. The value obtained for the formation enthalpy at 0 K is -53 kJ/mol of formula units. The calculation puts the density of states at the Fermi level at 1.2 states/eV/cell. The energy above the most stable polymorph in this dataset is 0.093 eV/atom. Its crystal system is tetragonal.

It has space group I4/mmm (No. 139), with a = 5.390 Å, b = 5.390 Å, c = 7.561 Å, α = 90.00°, β = 90.00° and γ = 90.00°. The asymmetric unit holds K at (0.000, 0.000, 0.000), Tl at (0.000, 0.500, 0.250) and As at (0.000, 0.000, 0.500).

=====

Entry 2:
The following is a DFT calculation (SCAN) of a crystal of KTlAs relaxed with PBEsol.

The calculation puts the uncorrected energy at -33.788 eV/atom. As for the calculated density: 6.8 g/cm³. The value obtained for the formation enthalpy at 0 K is -47 kJ/mol of formula units. The calculation puts the density of states at the Fermi level at 1.4 states/eV/cell. The energy above the most stable polymorph in this dataset is 0.000 eV/atom. Its crystal system is trigonal.

It has space group P3m1 (No. 156), with a = 5.3633 Å, b = 5.3633 Å, c = 3.1187 Å, α = 90.00°, β = 90.00° and γ = 120.00°. The asymmetric unit holds K at (0.0000, 0.0000, 0.0000), Tl at (0.3333, 0.6667, 0.5058) and As at (0.6667, 0.3333, 0.4970).

=====

Entry 3:
The following is a DFT calculation (SCAN) of a crystal of KTl2As2 relaxed with PBEsol.

The calculation puts the uncorrected energy at -38.887 eV/atom. As for the calculated density: 6.9 g/cm³. The value obtained for the formation enthalpy at 0 K is -97 kJ/mol of formula units. The calculation puts the density of states at the Fermi level at 4.7 states/eV/cell. Its crystal system is tetragonal.

It has space group I4/mmm (No. 139), with a = 4.886 Å, b = 4.886 Å, c = 12.060 Å, α = 90.00°, β = 90.00° and γ = 90.00°. The asymmetric unit holds K at (0.000, 0.000, 0.000), Tl at (0.000, 0.500, 0.250) and As at (0.000, 0.000, 0.399).

=====

Entry 4:
The following is a DFT calculation (SCAN) of a crystal of K2TlAs relaxed with PBEsol.

The calculation puts the uncorrected energy at -27.704 eV/atom. As for the calculated density: 4.6 g/cm³. The value obtained for the formation enthalpy at 0 K is -155 kJ/mol of formula units. The calculation puts the density of states at the Fermi level at 1.5 states/eV/cell. The energy above the most stable polymorph in this dataset is 0.008 eV/atom. Its crystal system is orthorhombic.

It has space group Imm2 (No. 44), with a = 4.212 Å, b = 5.567 Å, c = 11.083 Å, α = 90.00°, β = 90.00° and γ = 90.00°. The asymmetric unit holds K at (0.000, 0.000, 0.000), K at (0.000, 0.500, 0.186), Tl at (0.000, 0.000, 0.404) and As at (0.000, 0.500, 0.742).

=====

Entry 5:
The following is a DFT calculation (SCAN) of a crystal of KTl2As relaxed with PBEsol.

The calculation puts the uncorrected energy at -43.460 eV/atom. As for the calculated density: 7.4 g/cm³. The value obtained for the formation enthalpy at 0 K is -58 kJ/mol of formula units. The calculation puts the density of states at the Fermi level at 1.4 states/eV/cell. The energy above the most stable polymorph in this dataset is 0.080 eV/atom. Its crystal system is tetragonal.

It has space group P4mm (No. 99), with a = 3.933 Å, b = 3.933 Å, c = 7.561 Å, α = 90.00°, β = 90.00° and γ = 90.00°. The asymmetric unit holds K at (0.000, 0.000, 0.000), Tl at (0.000, 0.000, 0.553), Tl at (0.500, 0.500, 0.322) and As at (0.500, 0.500, 0.703).

=====

Entry 6:
The following is a DFT calculation (SCAN) of a crystal of KTl2As relaxed with PBEsol.

The calculation puts the uncorrected energy at -43.540 eV/atom. As for the calculated density: 6.7 g/cm³. The value obtained for the formation enthalpy at 0 K is -89 kJ/mol of formula units. The calculation puts the density of states at the Fermi level at 2.9 states/eV/cell. The energy above the most stable polymorph in this dataset is 0.000 eV/atom. Its crystal system is orthorhombic.

It has space group Cmmm (No. 65), with a = 6.380 Å, b = 9.513 Å, c = 4.285 Å, α = 90.00°, β = 90.00° and γ = 90.00°. The asymmetric unit holds K at (0.000, 0.000, 0.000), Tl at (0.000, 0.306, 0.500) and As at (0.000, 0.500, 0.000).

=====

Entry 7:
The following is a DFT calculation (SCAN) of a crystal of KTl2As relaxed with PBEsol.

The calculation puts the uncorrected energy at -43.520 eV/atom. As for the calculated density: 7.6 g/cm³. The value obtained for the formation enthalpy at 0 K is -82 kJ/mol of formula units. The calculation puts the density of states at the Fermi level at 1.8 states/eV/cell. The energy above the most stable polymorph in this dataset is 0.019 eV/atom. Its crystal system is orthorhombic.

It has space group Immm (No. 71), with a = 3.402 Å, b = 5.865 Å, c = 11.430 Å, α = 90.00°, β = 90.00° and γ = 90.00°. The asymmetric unit holds K at (0.000, 0.000, 0.000), Tl at (0.000, 0.500, 0.210) and As at (0.000, 0.000, 0.500).

=====

Entry 8:
The following is a DFT calculation (SCAN) of a crystal of K2AsW relaxed with PBEsol.

The calculation puts the uncorrected energy at -25.637 eV/atom. As for the calculated density: 6.4 g/cm³. The value obtained for the formation enthalpy at 0 K is 385 kJ/mol of formula units. The calculation puts the density of states at the Fermi level at 2.4 states/eV/cell. Its crystal system is monoclinic.

It has space group P2/m (No. 10), with a = 2.982 Å, b = 5.755 Å, c = 5.213 Å, α = 90.00°, β = 101.80° and γ = 90.00°. The asymmetric unit holds K at (0.117, 0.000, 0.261), As at (0.500, 0.500, 0.500) and W at (0.500, 0.500, 0.000).

=====

Copy entry 4 word for word.
The following is a DFT calculation (SCAN) of a crystal of K2TlAs relaxed with PBEsol.

The calculation puts the uncorrected energy at -27.704 eV/atom. As for the calculated density: 4.6 g/cm³. The value obtained for the formation enthalpy at 0 K is -155 kJ/mol of formula units. The calculation puts the density of states at the Fermi level at 1.5 states/eV/cell. The energy above the most stable polymorph in this dataset is 0.008 eV/atom. Its crystal system is orthorhombic.

It has space group Imm2 (No. 44), with a = 4.212 Å, b = 5.567 Å, c = 11.083 Å, α = 90.00°, β = 90.00° and γ = 90.00°. The asymmetric unit holds K at (0.000, 0.000, 0.000), K at (0.000, 0.500, 0.186), Tl at (0.000, 0.000, 0.404) and As at (0.000, 0.500, 0.742).